A geometry-optimized Tm2In2Hg structure. Source: Alexandria, functional PBE.

Values from the calculation:
- Energy relative to the elements: -148 kJ/mol of formula units
- Theoretical density: 9.83 g cm⁻³
- Excess energy over the best structure of this formula in the dataset: 0.060 eV per atom
- Space-group type: Cmmm
- Final energy: -3.25 eV/atom

a = 3.4443 Å, b = 21.7787 Å, c = 3.4580 Å
α = 90.00°, β = 90.00°, γ = 90.00°
Positions (direct):
Tm: 0.0000 0.0934 0.0000
Tm: 0.0000 0.9066 0.0000
Tm: 0.5000 0.4066 0.0000
Tm: 0.5000 0.5934 0.0000
In: 0.0000 0.3079 0.5000
In: 0.0000 0.6921 0.5000
In: 0.5000 0.1921 0.5000
In: 0.5000 0.8079 0.5000
Hg: 0.0000 0.5000 0.5000
Hg: 0.5000 0.0000 0.5000


A geometry-optimized LaBeNi2 structure. Source: Alexandria, functional PBE.

Values from the calculation:
- Energy relative to the elements: 73 kJ/mol of formula units
- Theoretical density: 6.86 g cm⁻³
- Space-group type: Cmmm
- Final energy: -4.86 eV/atom

a = 6.2385 Å, b = 6.2752 Å, c = 3.2804 Å
α = 90.00°, β = 90.00°, γ = 90.00°
Positions (direct):
La: 0.0000 0.0000 0.0000
La: 0.5000 0.5000 0.0000
Be: 0.0000 0.5000 0.0000
Be: 0.5000 0.0000 0.0000
Ni: 0.2500 0.2500 0.5000
Ni: 0.2500 0.7500 0.5000
Ni: 0.7500 0.2500 0.5000
Ni: 0.7500 0.7500 0.5000


A geometry-optimized Ca2NbPb structure. Source: Alexandria, functional PBE.

Values from the calculation:
- Energy relative to the elements: 225 kJ/mol of formula units
- Theoretical density: 5.52 g cm⁻³
- Space-group type: I-42d
- Final energy: -3.86 eV/atom

a = 8.6095 Å, b = 8.6095 Å, c = 6.1721 Å
α = 90.00°, β = 90.00°, γ = 90.00°
Positions (direct):
Ca: 0.2468 0.7500 0.1250
Ca: 0.2500 0.2468 0.8750
Ca: 0.2500 0.2532 0.3750
Ca: 0.2532 0.7500 0.6250
Ca: 0.7468 0.2500 0.6250
Ca: 0.7500 0.7468 0.3750
Ca: 0.7500 0.7532 0.8750
Ca: 0.7532 0.2500 0.1250
Nb: 0.0000 0.0000 0.0000
Nb: 0.0000 0.5000 0.2500
Nb: 0.5000 0.0000 0.7500
Nb: 0.5000 0.5000 0.5000
Pb: 0.0000 0.0000 0.5000
Pb: 0.0000 0.5000 0.7500
Pb: 0.5000 0.0000 0.2500
Pb: 0.5000 0.5000 0.0000